Entry from the Alexandria database: crystalline BaGaH at its relaxed geometry (GGA-PBE).

```
BaGaH
1.0
2.2426 1.2948 8.8471
-2.2426 1.2948 8.8471
0.0000 -2.5895 8.8471
Ba Ga H
2 2 2
direct
0.0000 0.0000 0.0000 Ba
0.1797 0.1797 0.1797 Ba
0.4310 0.4310 0.4310 Ga
0.7489 0.7489 0.7489 Ga
0.6769 0.6769 0.6769 H
0.8982 0.8982 0.8982 H
```

Volume = 154 Å³ per cell
N(E_F) = 0.08 states/eV/atom
Symmetry = No. 160
Distance to the lowest polymorph of the same formula = 0.20 eV per formula unit
Magnetization = 0.00 μB/cell